<A>
FeSn2Pd | Alexandria via LeMat-Bulk | PBE-GGA | optimized geometry; mass density = 9.239 Mg/m³
1.0
-3.589 -2.659 1.348
-4.291 0.886 -1.603
-2.007 -2.923 -3.033
Sn Pd Fe
2 1 1
Direct
0.250 0.250 0.250
0.750 0.750 0.750
0.500 0.500 0.500
0.000 0.000 0.000


<B>
FeSn2Pd | Alexandria via LeMat-Bulk | PBE-GGA | optimized geometry; mass density = 7.985 Mg/m³
1.0
3.186 0.000 0.000
1.593 2.759 0.000
1.593 0.920 9.453
Sn Pd Fe
2 1 1
Direct
0.092 0.092 0.724
0.908 0.908 0.276
0.500 0.500 0.500
0.000 0.000 0.000


<C>
FeSn2Pd | Alexandria via LeMat-Bulk | PBE-GGA | optimized geometry; mass density = 7.987 Mg/m³
1.0
4.329 0.000 0.000
0.000 4.329 0.000
2.164 2.164 8.870
Sn Pd Fe
4 2 2
Direct
0.619 0.125 0.250
0.131 0.625 0.250
0.375 0.381 0.750
0.875 0.869 0.750
0.000 0.000 0.000
0.750 0.250 0.500
0.500 0.500 0.000
0.250 0.750 0.500


Most stable structure: <A>


<A>
Sr2FePd | Alexandria via LeMat-Bulk | PBE-GGA | optimized geometry; mass density = 4.978 Mg/m³
1.0
-0.889 4.025 -7.167
6.399 -4.185 -3.144
0.700 -2.426 -6.217
Sr Fe Pd
4 2 2
Direct
0.644 0.125 0.250
0.106 0.625 0.250
0.375 0.356 0.750
0.875 0.894 0.750
0.500 0.500 0.000
0.250 0.750 0.500
0.000 0.000 0.000
0.750 0.250 0.500


<B>
Sr2FePd | Alexandria via LeMat-Bulk | PBE-GGA | optimized geometry; mass density = 5.236 Mg/m³
1.0
0.000 3.768 3.768
3.768 0.000 3.768
3.768 3.768 0.000
Sr Fe Pd
2 1 1
Direct
0.250 0.250 0.250
0.750 0.750 0.750
0.000 0.000 0.000
0.500 0.500 0.500


Most stable structure: <B>


<A>
SrFe3Pd | Alexandria via LeMat-Bulk | PBE-GGA | optimized geometry; mass density = 6.017 Mg/m³
1.0
4.638 0.000 0.000
0.000 4.638 0.000
0.000 0.000 4.638
Sr Fe Pd
1 3 1
Direct
0.000 0.000 0.000
0.000 0.500 0.000
0.000 0.000 0.500
0.500 0.000 0.000
0.500 0.500 0.500


<B>
SrFe3Pd | Alexandria via LeMat-Bulk | PBE-GGA | optimized geometry; mass density = 5.466 Mg/m³
1.0
-4.677 -0.990 0.280
-0.017 -1.232 -4.628
1.028 -4.521 1.200
Sr Fe Pd
1 3 1
Direct
0.500 0.500 0.500
0.000 0.500 0.000
0.000 0.000 0.500
0.500 0.000 0.000
0.000 0.000 0.000


Most stable structure: <B>


<A>
SrFePd3 | Alexandria via LeMat-Bulk | PBE-GGA | optimized geometry; mass density = 7.128 Mg/m³
1.0
-2.777 2.854 -2.606
-3.403 -0.285 3.315
1.832 3.797 2.207
Sr Fe Pd
1 1 3
Direct
0.500 0.500 0.500
0.000 0.000 0.000
0.000 0.500 0.000
0.000 0.000 0.500
0.500 0.000 0.000


<B>
SrFePd3 | Alexandria via LeMat-Bulk | PBE-GGA | optimized geometry; mass density = 5.779 Mg/m³
1.0
-4.352 -0.277 -2.653
2.598 -1.586 -4.097
-0.602 -4.843 1.493
Sr Fe Pd
1 1 3
Direct
0.000 0.000 0.000
0.500 0.500 0.500
0.000 0.500 0.000
0.000 0.000 0.500
0.500 0.000 0.000


Most stable structure: <A>


<A>
TaFe2Pd | Alexandria via LeMat-Bulk | PBE-GGA | optimized geometry; mass density = 11.783 Mg/m³
1.0
1.163 -4.132 0.260
-0.183 -2.052 3.775
-2.976 -3.035 0.656
Fe Pd Ta
2 1 1
Direct
0.250 0.250 0.250
0.750 0.750 0.750
0.000 0.000 0.000
0.500 0.500 0.500


<B>
TaFe2Pd | Alexandria via LeMat-Bulk | PBE-GGA | optimized geometry; mass density = 12.069 Mg/m³
1.0
-0.570 -1.796 3.189
-3.116 -1.686 -1.507
2.183 -2.914 -1.251
Fe Pd Ta
2 1 1
Direct
0.000 0.000 0.500
0.000 0.500 0.000
0.500 0.500 0.500
0.500 0.000 0.000


<C>
TaFe2Pd | Alexandria via LeMat-Bulk | PBE-GGA | optimized geometry; mass density = 11.022 Mg/m³
1.0
-1.099 3.391 -1.040
-2.680 -0.080 2.570
3.568 5.203 6.566
Fe Pd Ta
4 2 2
Direct
0.554 0.125 0.250
0.196 0.625 0.250
0.375 0.446 0.750
0.875 0.804 0.750
0.500 0.500 0.000
0.250 0.750 0.500
0.000 0.000 0.000
0.750 0.250 0.500


Most stable structure: <B>


<A>
Ta2Fe2Pd | Alexandria via LeMat-Bulk | PBE-GGA | optimized geometry; mass density = 13.333 Mg/m³
1.0
6.940 0.000 0.000
0.000 6.940 0.000
0.000 0.000 3.000
Fe Pd Ta
4 2 4
Direct
0.368 0.868 0.000
0.868 0.632 0.000
0.632 0.132 0.000
0.132 0.368 0.000
0.000 0.000 0.000
0.500 0.500 0.000
0.165 0.665 0.500
0.665 0.835 0.500
0.835 0.335 0.500
0.335 0.165 0.500


<B>
Ta2Fe2Pd | Alexandria via LeMat-Bulk | PBE-GGA | optimized geometry; mass density = 12.762 Mg/m³
1.0
-1.921 2.358 6.552
-3.573 -6.168 1.172
2.393 -1.173 1.124
Fe Pd Ta
4 2 4
Direct
0.142 0.642 0.500
0.642 0.858 0.500
0.858 0.358 0.500
0.358 0.142 0.500
0.000 0.000 0.000
0.500 0.500 0.000
0.349 0.849 0.000
0.849 0.651 0.000
0.651 0.151 0.000
0.151 0.349 0.000


Most stable structure: <A>


<A>
FeTc2Pd2 | Alexandria via LeMat-Bulk | PBE-GGA | optimized geometry; mass density = 9.408 Mg/m³
1.0
3.703 0.000 0.000
0.000 3.703 0.000
1.851 1.851 5.982
Tc Pd Fe
2 2 1
Direct
0.409 0.409 0.181
0.591 0.591 0.819
0.750 0.250 0.500
0.250 0.750 0.500
0.000 0.000 0.000


<B>
FeTc2Pd2 | Alexandria via LeMat-Bulk | PBE-GGA | optimized geometry; mass density = 9.923 Mg/m³
1.0
-0.323 1.285 5.960
-2.085 -5.632 1.101
3.915 -1.351 0.504
Tc Pd Fe
4 4 2
Direct
0.366 0.866 0.000
0.866 0.634 0.000
0.634 0.134 0.000
0.134 0.366 0.000
0.165 0.665 0.500
0.665 0.835 0.500
0.835 0.335 0.500
0.335 0.165 0.500
0.000 0.000 0.000
0.500 0.500 0.000


Most stable structure: <B>